Entry 1:
A relaxed structure of CsInCu6O8. Source: Alexandria via LeMat-Bulk, functional GGA-PBE.

The density of states at the Fermi level comes out at 28.394 states/eV/cell. The final energy is -5.00 eV per atom.

It has space group Fm-3m (No. 225), with a = 9.379 Å, b = 9.379 Å, c = 9.379 Å, α = 90.00°, β = 90.00° and γ = 90.00°. The asymmetric unit holds Cs at (0.000, 0.000, 0.000), In at (0.000, 0.000, 0.500), Cu at (0.000, 0.250, 0.250) and O at (0.142, 0.142, 0.358).

Entry 2:
A relaxed structure of GaRePt2. Source: Alexandria via LeMat-Bulk, functional GGA-PBE.

The density of states at the Fermi level comes out at 13.089 states/eV/cell. The final energy is -6.61 eV per atom.

It has space group I-42d (No. 122), with a = 3.848 Å, b = 3.848 Å, c = 17.999 Å, α = 90.00°, β = 90.00° and γ = 90.00°. The asymmetric unit holds Ga at (0.000, 0.000, 0.000), Re at (0.000, 0.000, 0.500) and Pt at (0.250, 0.250, 0.125).

Entry 3:
A relaxed structure of Sc2Br. Source: Alexandria via LeMat-Bulk, functional GGA-PBE.

The density of states at the Fermi level comes out at 6.964 states/eV/cell. The final energy is -5.26 eV per atom. Its energy above the lowest structure with this stoichiometry is 0.188 eV per atom.

It has space group I4/mmm (No. 139), with a = 3.344 Å, b = 3.344 Å, c = 12.708 Å, α = 90.00°, β = 90.00° and γ = 90.00°. The asymmetric unit holds Sc at (0.000, 0.000, 0.167) and Br at (0.000, 0.000, 0.500).

Question: final energy of number 3 (Sc2Br)?
Answer: -5.26 eV per atom